(1)
An optimized crystal structure of LaIn2Hg5. Source: Alexandria via LeMat-Bulk, functional GGA-PBE.

The structure in CIF format:
```
data_LaIn2Hg5
_chemical_formula_sum 'La2 In4 Hg10'
_symmetry_space_group_name_H-M 'I 4/m m m'
_symmetry_Int_Tables_number 139
_symmetry_space_group_name_Hall '-I 4 2'
_cell_length_a 4.8622
_cell_length_b 4.8622
_cell_length_c 17.7963
_cell_angle_alpha 90.00
_cell_angle_beta 90.00
_cell_angle_gamma 90.00
loop_
_atom_site_label
_atom_site_type_symbol
_atom_site_fract_x
_atom_site_fract_y
_atom_site_fract_z
La1 La 0.0000 0.0000 0.0000
In1 In 0.0000 0.0000 0.2436
Hg1 Hg 0.0000 0.0000 0.5000
Hg2 Hg 0.0000 0.5000 0.1288
```


(2)
An optimized crystal structure of La2InHg2. Source: Alexandria via LeMat-Bulk, functional GGA-PBE.

Results
Energy relative to the lowest polymorph listed for this composition ... 1.144 eV/f.u.

The structure in CIF format:
```
data_La2InHg2
_chemical_formula_sum 'La4 In2 Hg4'
_symmetry_space_group_name_H-M 'I 4/m m m'
_symmetry_Int_Tables_number 139
_symmetry_space_group_name_Hall '-I 4 2'
_cell_length_a 4.1779
_cell_length_b 4.1779
_cell_length_c 18.0399
_cell_angle_alpha 90.00
_cell_angle_beta 90.00
_cell_angle_gamma 90.00
loop_
_atom_site_label
_atom_site_type_symbol
_atom_site_fract_x
_atom_site_fract_y
_atom_site_fract_z
La1 La 0.0000 0.0000 0.1019
In1 In 0.0000 0.0000 0.5000
Hg1 Hg 0.0000 0.5000 0.2500
```


no.,theoretical density (g/cm3),energy of formation from the pure elements (meV per atom)
1,10.8,-240
2,8.4,-251